(1)
The following is a DFT calculation (PBE-GGA) of a relaxed structure of Ca2PtBr.

Summary:
- V: 106.6 Å³ per cell
- Energy: -4.033 eV per atom

Unit cell a=5.8518 b=4.2680 c=4.2683 alpha=90.00 beta=90.00 gamma=90.00
Element x y z (fractional)
Ca: 0.5000 0.3751 0.3750
Pt: 0.0000 0.3751 0.3749
Ca: 0.0000 0.8748 0.8750
Br: 0.5000 0.8750 0.8751

---

(2)
The following is a DFT calculation (PBE-GGA) of a relaxed structure of Zr2Pb3.

Summary:
- V: 141.9 Å³ per cell
- ΔE_f: -11.9 meV per atom
- Energy: -5.656 eV per atom

Unit cell a=5.1803 b=5.1803 c=6.1058 alpha=90.00 beta=90.00 gamma=120.00
Last column: magnetic moment on the atom in μB.
Element x y z (fractional)
Zr: 0.6667 0.3333 0.1037  0.32
Pb: 0.3333 0.6667 0.3891  -0.01
Pb: 0.6667 0.3333 0.6109  -0.01
Zr: 0.3333 0.6667 0.8963  0.32
Pb: 0.0000 0.0000 0.0000  -0.03

---

(3)
The following is a DFT calculation (PBE-GGA) of a relaxed structure of Tl4ZnHg.

Summary:
- V: 190.4 Å³ per cell
- ΔE_f: 240.0 meV per atom
- Energy: -1.600 eV per atom

Unit cell a=6.4575 b=6.4575 c=6.4575 alpha=60.00 beta=60.00 gamma=60.00
Element x y z (fractional)
Hg: 0.0000 0.0000 0.0000
Tl: 0.3750 0.8749 0.3750
Tl: 0.3750 0.3750 0.8749
Tl: 0.8749 0.3750 0.3750
Zn: 0.7500 0.7500 0.7500
Tl: 0.3750 0.3750 0.3750

---

(4)
The following is a DFT calculation (PBE-GGA) of a relaxed structure of NaLi2Mg.

Summary:
- V: 96.8 Å³ per cell
- ΔE_f: 16.1 meV per atom
- Energy: -1.669 eV per atom

Unit cell a=3.5752 b=3.5752 c=7.5756 alpha=90.00 beta=90.00 gamma=90.00
Element x y z (fractional)
Na: 0.5000 0.5000 0.5000
Li: 0.0000 0.0000 0.2109
Li: 0.0000 0.0000 0.7891
Mg: 0.5000 0.5000 0.0000

---

(5)
The following is a DFT calculation (PBE-GGA) of a relaxed structure of TiAlIrW.

Summary:
- V: 59.9 Å³ per cell
- ΔE_f: -359.2 meV per atom
- Energy: -8.722 eV per atom

Unit cell a=4.3916 b=4.3916 c=4.3916 alpha=60.00 beta=60.00 gamma=60.00
Element x y z (fractional)
Al: 0.5000 0.5000 0.5000
Ir: 0.2500 0.2500 0.2500
W: 0.7500 0.7500 0.7500
Ti: 0.0000 0.0000 0.0000

---

(6)
The following is a DFT calculation (PBE-GGA) of a relaxed structure of Sr7Sb3N2.

Summary:
- V: 355.7 Å³ per cell
- Energy: -4.272 eV per atom

Unit cell a=5.0851 b=5.2450 c=13.5904 alpha=101.13 beta=90.00 gamma=90.00
Element x y z (fractional)
Sr: 0.0000 0.4011 0.8021
N: 0.0000 0.9004 0.8007
Sr: 0.5000 0.9018 0.8036
Sb: 0.5000 0.3126 0.6252
Sr: 0.0000 0.5989 0.1979
Sr: 0.0000 0.8033 0.6067
Sr: 0.0000 0.1967 0.3933
Sr: 0.5000 0.0982 0.1964
Sb: 0.5000 0.6874 0.3748
N: 0.0000 0.0996 0.1993
Sr: 0.0000 0.0000 0.0000
Sb: 0.5000 0.5000 0.0000

---

(7)
The following is a DFT calculation (PBE-GGA) of a relaxed structure of RbSn5Br11.

Summary:
- V: 693.2 Å³ per cell
- Energy: -3.169 eV per atom

Unit cell a=9.4105 b=9.2516 c=9.2516 alpha=115.51 beta=99.24 gamma=99.24
Element x y z (fractional)
Rb: 0.0000 0.0000 0.0000
Br: 0.6616 0.4096 0.4096
Br: 0.3195 0.8604 0.2964
Br: 0.9672 0.1419 0.4027
Br: 0.6805 0.7036 0.1396
Sn: 0.6537 0.3593 0.0609
Br: 0.0328 0.8581 0.5973
Br: 0.5000 0.0000 0.0000
Br: 0.0328 0.5973 0.8581
Br: 0.3195 0.2964 0.8604
Br: 0.3384 0.5904 0.5904
Sn: 0.3463 0.9391 0.6407
Sn: 0.0000 0.5000 0.5000
Sn: 0.3463 0.6407 0.9391
Br: 0.9672 0.4027 0.1419
Br: 0.6805 0.1396 0.7036
Sn: 0.6537 0.0609 0.3593

---

(8)
The following is a DFT calculation (PBE-GGA) of a relaxed structure of Si2Te2Se.

Summary:
- V: 114.7 Å³ per cell
- Energy: -3.890 eV per atom

Unit cell a=5.4866 b=5.4866 c=5.4866 alpha=121.12 beta=121.12 gamma=88.07
Element x y z (fractional)
Te: 0.7500 0.2500 0.5000
Si: 0.6576 0.6576 0.0000
Te: 0.2500 0.7500 0.5000
Se: 0.0000 0.0000 0.0000
Si: 0.3424 0.3424 0.0000

---

(9)
The following is a DFT calculation (PBE-GGA) of a relaxed structure of AlHgMo2Cl.

Summary:
- V: 161.7 Å³ per cell
- Energy: -3.558 eV per atom

Unit cell a=5.3415 b=5.6686 c=5.3415 alpha=90.00 beta=90.00 gamma=90.00
Last column: magnetic moment on the atom in μB.
Element x y z (fractional)
Mo: 0.5000 0.0000 0.0000  3.30
Cl: 0.0000 0.5000 0.0000  0.12
Mo: 0.0000 0.0000 0.5000  3.41
Al: 0.5000 0.5000 0.5000  0.02
Hg: 0.0000 0.0000 0.0000  0.11

---

(10)
The following is a DFT calculation (PBE-GGA) of a relaxed structure of CdInB.

Summary:
- V: 116.7 Å³ per cell
- ΔE_f: 830.6 meV per atom
- Energy: -2.613 eV per atom

Unit cell a=4.0107 b=4.0107 c=8.3773 alpha=90.00 beta=90.00 gamma=120.00
Element x y z (fractional)
B: 0.6667 0.3333 0.7500
In: 0.3333 0.6667 0.7500
B: 0.3333 0.6667 0.2500
Cd: 0.0000 0.0000 0.0000
Cd: 0.0000 0.0000 0.5000
In: 0.6667 0.3333 0.2500

---

(11)
The following is a DFT calculation (PBE-GGA) of a relaxed structure of PmDyRhAu.

Summary:
- V: 93.7 Å³ per cell
- ΔE_f: -815.3 meV per atom
- Energy: -5.811 eV per atom

Unit cell a=3.8404 b=4.6106 c=5.6274 alpha=90.00 beta=109.95 gamma=90.00
Element x y z (fractional)
Dy: 0.8647 0.5000 0.7293
Au: 0.5818 0.5000 0.1637
Rh: 0.4086 0.0000 0.8172
Pm: 0.1449 0.0000 0.2898

---

(12)
The following is a DFT calculation (PBE-GGA) of a relaxed structure of TiNiIr.

Summary:
- V: 49.9 Å³ per cell
- ΔE_f: -34.5 meV per atom
- Energy: -7.547 eV per atom

Unit cell a=5.7765 b=4.1308 c=2.9059 alpha=90.00 beta=90.01 gamma=46.07
Element x y z (fractional)
Ir: 0.0000 0.0000 0.5000
Ti: 0.5000 0.5000 0.0000
Ni: 0.0000 0.5000 0.0000

---

(13)
The following is a DFT calculation (PBE-GGA) of a relaxed structure of ScTcRh2.

Summary:
- V: 61.2 Å³ per cell
- ΔE_f: -393.2 meV per atom
- Energy: -8.243 eV per atom

Unit cell a=4.7351 b=4.7351 c=2.8493 alpha=89.99 beta=89.99 gamma=106.55
Element x y z (fractional)
Rh: 0.5000 0.5000 0.0000
Sc: 0.5000 0.0000 0.5000
Rh: 0.0000 0.0000 0.0000
Tc: 0.0000 0.5000 0.5000

---

(14)
The following is a DFT calculation (PBE-GGA) of a relaxed structure of Ba8CuAu3.

Summary:
- V: 604.0 Å³ per cell
- ΔE_f: -371.1 meV per atom
- Energy: -2.814 eV per atom

Unit cell a=9.5993 b=9.6019 c=9.3752 alpha=120.76 beta=90.00 gamma=119.99
Element x y z (fractional)
Ba: 0.2528 0.0096 0.7663
Ba: 0.2431 0.4862 0.2336
Ba: 0.2432 0.9904 0.2337
Ba: 0.2550 0.5100 0.7648
Cu: 0.0000 0.0000 0.0000
Au: 0.5000 0.0000 0.0000
Ba: 0.7569 0.5138 0.7664
Ba: 0.7472 0.9904 0.2337
Au: 0.5000 0.5000 0.0000
Au: 0.0000 0.5000 0.0000
Ba: 0.7450 0.4900 0.2352
Ba: 0.7568 0.0096 0.7663

---

(15)
The following is a DFT calculation (PBE-GGA) of a relaxed structure of Cs2Tl3Au.

Summary:
- V: 510.3 Å³ per cell
- ΔE_f: -81.7 meV per atom
- Energy: -2.096 eV per atom

Unit cell a=7.7167 b=8.6244 c=8.9584 alpha=105.03 beta=90.00 gamma=116.58
Element x y z (fractional)
Tl: 0.2015 0.0000 0.2500
Tl: 0.8822 0.7686 0.9424
Cs: 0.3415 0.6883 0.9228
Cs: 0.6532 0.3117 0.5772
Au: 0.8039 0.0000 0.2500
Cs: 0.3468 0.6883 0.4228
Cs: 0.6585 0.3117 0.0772
Tl: 0.8864 0.7686 0.4424
Tl: 0.7985 0.0000 0.7500
Tl: 0.1178 0.2314 0.0576
Tl: 0.1136 0.2314 0.5576
Au: 0.1961 0.0000 0.7500

---

(16)
The following is a DFT calculation (PBE-GGA) of a relaxed structure of CaYCd2.

Summary:
- V: 130.9 Å³ per cell
- ΔE_f: 359.6 meV per atom
- Energy: -2.214 eV per atom

Unit cell a=7.3059 b=7.3059 c=7.3059 alpha=56.75 beta=153.51 gamma=130.78
Element x y z (fractional)
Y: 0.0000 0.5000 0.5000
Cd: 0.0000 0.2548 0.2548
Ca: 0.0000 0.0000 0.0000
Cd: 0.0000 0.7452 0.7452

---

(17)
The following is a DFT calculation (PBE-GGA) of a relaxed structure of PuHCl5.

Summary:
- V: 444.9 Å³ per cell
- Energy: -5.133 eV per atom

Unit cell a=7.6315 b=7.6184 c=9.7694 alpha=111.60 beta=90.00 gamma=120.06
Last column: magnetic moment on the atom in μB.
Element x y z (fractional)
Cl: 0.2889 0.3955 0.6474  -0.12
Pu: 0.0000 0.0000 0.0000  4.40
Cl: 0.7111 0.6045 0.3526  -0.12
Cl: 0.2336 0.8611 0.5746  -0.04
Cl: 0.1503 0.0000 0.2500  -0.07
H: 0.3034 0.0000 0.7500  0.00
Cl: 0.3725 0.1389 0.9254  -0.04
Cl: 0.7664 0.1389 0.4254  -0.04
H: 0.6966 0.0000 0.2500  0.00
Cl: 0.1065 0.3955 0.1474  -0.12
Cl: 0.6275 0.8611 0.0746  -0.04
Cl: 0.8935 0.6045 0.8526  -0.12
Pu: 0.0000 0.0000 0.5000  4.40
Cl: 0.8497 0.0000 0.7500  -0.07

---

(18)
The following is a DFT calculation (PBE-GGA) of a relaxed structure of Zn2SiIr.

Summary:
- V: 207.4 Å³ per cell
- Energy: -4.183 eV per atom

Unit cell a=9.5842 b=9.5842 c=7.1435 alpha=47.87 beta=47.87 gamma=90.00
Element x y z (fractional)
Si: 0.2500 0.7500 0.5000
Zn: 0.8750 0.1247 0.7500
Ir: 0.0000 0.0000 0.0000
Zn: 0.8753 0.6250 0.2500
Zn: 0.8747 0.1250 0.2500
Zn: 0.3750 0.1253 0.7500
Ir: 0.7500 0.2500 0.5000
Si: 0.5000 0.5000 0.0000

---

(19)
The following is a DFT calculation (PBE-GGA) of a relaxed structure of TeBr3Cl.

Summary:
- V: 460.8 Å³ per cell
- Energy: -2.347 eV per atom

Unit cell a=6.1031 b=8.8113 c=8.5694 alpha=89.98 beta=89.93 gamma=90.01
Element x y z (fractional)
Br: 0.0714 0.8586 0.7012
Cl: 0.7999 0.0657 0.2001
Te: 0.6788 0.8034 0.2007
Br: 0.9147 0.5083 0.9259
Br: 0.9145 0.5087 0.4759
Cl: 0.2977 0.2866 0.7003
Br: 0.4150 0.8445 0.9762
Br: 0.5709 0.4940 0.2012
Br: 0.4152 0.8448 0.4256
Te: 0.1782 0.5493 0.7007

---

(20)
The following is a DFT calculation (PBE-GGA) of a relaxed structure of CaMn3Pd.

Summary:
- V: 76.6 Å³ per cell
- ΔE_f: 2406.1 meV per atom
- Energy: -4.534 eV per atom

Unit cell a=4.2473 b=4.2473 c=4.2473 alpha=90.00 beta=90.00 gamma=90.00
Element x y z (fractional)
Mn: 0.0000 0.5000 0.0000
Pd: 0.5000 0.5000 0.5000
Ca: 0.0000 0.0000 0.0000
Mn: 0.5000 0.0000 0.0000
Mn: 0.0000 0.0000 0.5000

---

Q: Which ρ values were calculated for the entries above? A: 5532 9409 9450 1049 12502 4700 3732 5649 4671 6774 10768 9935 9457 4820 7002 4487 3152 5621 2903 6747, in kg/m³.